(1)
## Na2TbDyTe4 (GGA-PBE)

Data for Na2TbDyTe4 after structural relaxation.

a b c (Å): 7.6778 4.4361 7.9883
angles (deg): 90.00 108.67 90.00
Closest atoms and distances in Å follow each position.
Element x y z (fractional)
Na 0.0000 0.0000 0.0000  6 Te 3.27
Na 0.5000 0.5000 0.0000  6 Te 3.26
Tb 0.0000 0.5000 0.5000  6 Te 3.11
Dy 0.5000 0.0000 0.5000  6 Te 3.10
Te 0.2449 0.0000 0.7326  1 Dy 3.10, 2 Tb 3.11, 3 Na 3.26-3.27
Te 0.2570 0.5000 0.2678  2 Dy 3.10, 1 Tb 3.11, 3 Na 3.26-3.27
Te 0.7430 0.5000 0.7322  2 Dy 3.10, 1 Tb 3.11, 3 Na 3.26-3.27
Te 0.7551 0.0000 0.2673  1 Dy 3.10, 2 Tb 3.11, 3 Na 3.26-3.27

Output
- formation energy from raw total energies (eV/f.u.) = -10.55
- space-group type = P2/m, No. 10
- theoretical density (g cm⁻³) = 5.65

(2)
## NaTbDy2Tl4 (GGA-PBE)

Data for NaTbDy2Tl4 after structural relaxation.

a b c (Å): 9.3617 9.3617 9.3617
angles (deg): 33.05 33.05 33.05
Closest atoms and distances in Å follow each position.
Element x y z (fractional)
Na 0.0000 0.0000 0.0000  8 Tl 3.26-3.30
Tb 0.5000 0.5000 0.5000  8 Tl 3.27-3.32
Dy 0.2538 0.2538 0.2538  8 Tl 3.21-3.43
Dy 0.7462 0.7462 0.7462  8 Tl 3.21-3.43
Tl 0.1244 0.1244 0.1244  3 Tb 3.27, 4 Dy 3.30-3.43, 1 Na 3.30
Tl 0.3747 0.3747 0.3747  4 Dy 3.21-3.24, 3 Na 3.26, 1 Tb 3.32
Tl 0.6253 0.6253 0.6253  4 Dy 3.21-3.24, 3 Na 3.26, 1 Tb 3.32
Tl 0.8756 0.8756 0.8756  3 Tb 3.27, 4 Dy 3.30-3.43, 1 Na 3.30

Output
- N(E_F) (states/eV per cell) = 4.8
- space-group type = R-3m, No. 166
- formation energy (eV per atom) = -0.2901
- theoretical density (g cm⁻³) = 10.13

(3)
## NaTbDyTl (GGA-PBE)

Data for NaTbDyTl after structural relaxation.

a b c (Å): 5.4108 5.4108 5.4108
angles (deg): 60.00 60.00 60.00
Closest atoms and distances in Å follow each position.
Element x y z (fractional)
Na 0.0000 0.0000 0.0000  4 Tb 3.31, 4 Dy 3.31
Tb 0.2500 0.2500 0.2500  4 Tl 3.31, 4 Na 3.31
Dy 0.7500 0.7500 0.7500  4 Tl 3.31, 4 Na 3.31
Tl 0.5000 0.5000 0.5000  4 Tb 3.31, 4 Dy 3.31

Output
- N(E_F) (states/eV per cell) = 4.2
- space-group type = F-43m, No. 216
- formation energy (eV per atom) = -0.0524
- theoretical density (g cm⁻³) = 8.14

(4)
## NaDyTe2 (GGA-PBE)

Data for NaDyTe2 after structural relaxation.

a b c (Å): 8.3742 8.3742 8.3742
angles (deg): 29.77 29.77 29.77
Closest atoms and distances in Å follow each position.
Element x y z (fractional)
Na 0.0000 0.0000 0.0000  6 Te 3.24-3.28
Dy 0.8320 0.8320 0.8320  6 Te 3.12
Te 0.4201 0.4201 0.4201  3 Dy 3.12, 3 Na 3.24
Te 0.5775 0.5775 0.5775  3 Dy 3.12, 3 Na 3.28

Output
- formation energy from raw total energies (eV/f.u.) = -4.90
- space-group type = R3m, No. 160
- theoretical density (g cm⁻³) = 5.71

> Among the records above, which one has the highest theoretical density?

NaTbDy2Tl4

> Which value of theoretical density does entry 2 give?

10.13 g cm⁻³